1.
A plane-wave DFT calculation with PBE was carried out for a relaxed LiTb2TmS5 crystal.

Geometry as POSCAR:
```
LiTb2TmS5
1.0
1.943 -8.079 0.000
1.943 8.079 0.000
0.000 0.000 11.742
Li Tb Tm S
2 4 2 10
Cartesian
1.943 7.852 5.871
1.943 -7.852 0.000
1.943 2.016 3.682
1.943 1.730 8.263
1.943 -1.730 2.392
1.943 -2.016 9.553
1.943 3.188 0.250
1.943 -3.188 6.121
1.943 -8.076 3.555
1.943 8.076 9.426
1.943 5.862 0.224
1.943 4.969 4.258
1.943 4.615 7.998
1.943 0.760 1.086
1.943 -0.760 6.957
1.943 -4.615 2.127
1.943 -4.969 10.129
1.943 -5.862 6.095
```

- size of the total moment (Bohr magnetons per cell) = 0.000
- E (eV/cell) = -106.660
- crystal system = orthorhombic

---

2.
A plane-wave DFT calculation with PBE was carried out for a relaxed LiCo2Ir crystal.

Geometry as POSCAR:
```
LiCo2Ir
1.0
4.656 -1.304 0.000
4.656 1.304 0.000
-1.856 0.000 4.016
Li Co Ir
1 2 1
Cartesian
0.000 0.000 0.000
0.608 0.000 3.515
3.885 0.000 2.027
6.454 0.000 1.580
```

- size of the total moment (Bohr magnetons per cell) = 3.032
- ΔH_f (0 K) (meV per atom) = 25
- E (eV/cell) = -24.888
- crystal system = monoclinic

---

3.
A plane-wave DFT calculation with PBE was carried out for a relaxed CaSbPt crystal.

Geometry as POSCAR:
```
CaSbPt
1.0
-1.819 1.819 5.386
1.819 -1.819 5.386
1.819 1.819 -5.386
Ca Sb Pt
1 1 1
Cartesian
0.000 0.000 0.000
0.000 0.000 7.651
0.000 0.000 3.317
```

- size of the total moment (Bohr magnetons per cell) = 0.000
- E (eV/cell) = -13.966
- crystal system = tetragonal

---

4.
A plane-wave DFT calculation with PBE was carried out for a relaxed PtCl2O crystal.

Geometry as POSCAR:
```
PtCl2O
1.0
1.521 0.878 9.166
-1.521 0.878 9.166
0.000 -1.756 9.166
Pt Cl O
1 2 1
Cartesian
0.000 0.000 0.000
0.000 0.000 2.229
0.000 0.000 25.270
0.000 0.000 13.750
```

- size of the total moment (Bohr magnetons per cell) = 1.959
- E (eV/cell) = -11.918
- crystal system = trigonal